Entry from Alexandria: an optimized crystal structure of TbPuIn2 (PBE).

Structure (POSCAR):
```
TbPuIn2
1.0
-0.5008 2.6216 1.9952
-2.4581 -1.6410 1.5393
6.2160 -3.5150 6.1789
Pu In Tb
1 2 1
direct
0.5000 0.5000 0.0000 Pu
0.0000 0.0000 0.7475 In
0.0000 0.0000 0.2525 In
0.5000 0.5000 0.5000 Tb
```

Results
Energy of formation ... -0.31 eV/atom
Theoretical density ... 10.02 g/cm3